(1)
HfCoH: relaxed, GGA-PBE.

Cell and atoms, written as POSCAR:
```
HfCoH
1.0
-1.6069 1.6069 7.2567
1.6069 -1.6069 7.2567
1.6069 1.6069 -7.2567
Hf Co H
2 2 2
Direct
0.1152 0.1152 0.0000
0.8848 0.8848 0.0000
0.2990 0.2990 0.0000
0.7010 0.7010 0.0000
0.4083 0.4083 0.0000
0.5917 0.5917 0.0000
```

(2)
HfCoH: relaxed, GGA-PBE.

Cell and atoms, written as POSCAR:
```
HfCoH
1.0
3.1434 0.0000 0.0000
0.0000 3.1434 0.0000
0.0000 0.0000 7.0295
Hf Co H
2 2 2
Direct
0.2500 0.2500 0.1922
0.7500 0.7500 0.8078
0.2500 0.2500 0.5923
0.7500 0.7500 0.4077
0.2500 0.7500 0.0000
0.7500 0.2500 0.0000
```

Consider the structures shown above. The least stable of them is (1).